{
  "formula": "K4Rb",
  "functional": "PBE",
  "state": "relaxed",
  "lattice_angstrom": [[7.8007, 0.0000, 0.0000], [0.0000, 7.8007, 0.0000], [0.0000, 0.0000, 7.8007]],
  "species": ["K", "K", "K", "K", "Rb"],
  "fractional_positions": [[0.0000, 0.0000, 0.0000], [0.0000, 0.5000, 0.5000], [0.5000, 0.0000, 0.5000], [0.5000, 0.5000, 0.0000], [0.5000, 0.5000, 0.5000]],
  "space_group": "Pm-3m, No. 221",
  "energy_ev_per_atom": -0.8509,
  "de_polymorph_ev_per_fu": 1.06,
  "formation_energy_ev_per_atom": 0.221
}